A plane-wave DFT calculation with PBE-GGA was carried out for crystalline Dy5Y12Sc2 at its relaxed geometry.

abc: 9.217 8.965 8.555
angles: 91.82 90.00 120.94
Element x y z (fractional)
Y: 0.557 0.113 0.334
Y: 0.927 0.853 0.126
Y: 0.436 0.259 0.677
Y: 0.177 0.741 0.323
Y: 0.966 0.294 0.234
Y: 0.823 0.259 0.677
Y: 0.034 0.706 0.766
Y: 0.328 0.294 0.234
Y: 0.073 0.147 0.874
Y: 0.672 0.706 0.766
Y: 0.564 0.741 0.323
Y: 0.443 0.887 0.666
Dy: 0.296 0.593 0.976
Dy: 0.000 0.000 0.500
Dy: 0.769 0.538 0.431
Dy: 0.704 0.407 0.024
Dy: 0.231 0.462 0.569
Sc: 0.333 0.000 0.000
Sc: 0.667 0.000 0.000

## Properties
Symmetry ... No. 12
Magnetization ... 0.000 μB per atom
Raw total energy ... -5.840 eV per atom
ΔH_f (0 K) ... 0.12 eV/atom